Entry from Alexandria via LeMat-Bulk: a geometry-optimized BaNa4Ac structure (PBE-GGA).

Cell lengths 7.0805, 7.0805, 7.0805 Å; angles 60.00, 60.00, 60.00 degrees
Element x y z (fractional)
Ba 0.2500 0.2500 0.2500
Ac 0.0000 0.0000 0.0000
Na 0.6253 0.6253 0.1240
Na 0.6253 0.1240 0.6253
Na 0.6253 0.6253 0.6253
Na 0.1240 0.6253 0.6253

Properties
DOS at the Fermi energy in states/eV per cell: 6.4
Energy of formation from the pure elements in eV per atom: 0.109

Entry from Alexandria via LeMat-Bulk: a geometry-optimized TmAl6Cu6 structure (PBE-GGA).

Cell lengths 6.6053, 6.6053, 6.6053 Å; angles 134.74, 99.13, 97.90 degrees
Element x y z (fractional)
Cu 0.7702 0.5000 0.2702
Al 0.6538 0.0000 0.6538
Cu 0.2298 0.5000 0.7298
Al 0.1999 0.6999 0.5000
Al 0.8001 0.3001 0.5000
Al 0.3462 0.0000 0.3462
Al 0.3484 0.3484 0.0000
Tm 0.0000 0.0000 0.0000
Cu 0.0000 0.0000 0.5000
Cu 0.0000 0.5000 0.0000
Cu 0.5000 0.0000 0.0000
Cu 0.5000 0.5000 0.5000
Al 0.6516 0.6516 0.0000

Properties
DOS at the Fermi energy in states/eV per cell: 3.3
Energy of formation from the pure elements in eV per atom: -0.353

Entry from Alexandria via LeMat-Bulk: a geometry-optimized K2Au structure (PBE-GGA).

Cell lengths 16.2358, 16.2358, 16.2358 Å; angles 165.61, 165.61, 20.40 degrees
Element x y z (fractional)
K 0.4406 0.4406 0.0000
K 0.6906 0.1906 0.5000
K 0.5594 0.5594 0.0000
Au 0.2500 0.7500 0.5000
Au 0.0000 0.0000 0.0000
K 0.8094 0.3094 0.5000

Properties
DOS at the Fermi energy in states/eV per cell: 3.4
Energy of formation from the pure elements in eV per atom: -0.202

Entry from Alexandria via LeMat-Bulk: a geometry-optimized TbPuPt2 structure (PBE-GGA).

Cell lengths 3.8256, 4.3771, 5.7321 Å; angles 90.00, 109.49, 90.00 degrees
Last column: magnetic moment on the atom in μB.
Element x y z (fractional)
Pt 0.9921 0.0000 0.5228  -0.06
Tb 0.7219 0.0000 0.9827  0.09
Pu 0.4448 0.5000 0.4285  5.15
Pt 0.1723 0.5000 0.8840  -0.01

Properties
Energy above the most stable polymorph in this dataset in meV/atom: 0
DOS at the Fermi energy in states/eV per cell: 12.5
Energy of formation from the pure elements in eV per atom: -1.025

Copy entry 2 word for word.
Entry from Alexandria via LeMat-Bulk: a geometry-optimized TmAl6Cu6 structure (PBE-GGA).

Cell lengths 6.6053, 6.6053, 6.6053 Å; angles 134.74, 99.13, 97.90 degrees
Element x y z (fractional)
Cu 0.7702 0.5000 0.2702
Al 0.6538 0.0000 0.6538
Cu 0.2298 0.5000 0.7298
Al 0.1999 0.6999 0.5000
Al 0.8001 0.3001 0.5000
Al 0.3462 0.0000 0.3462
Al 0.3484 0.3484 0.0000
Tm 0.0000 0.0000 0.0000
Cu 0.0000 0.0000 0.5000
Cu 0.0000 0.5000 0.0000
Cu 0.5000 0.0000 0.0000
Cu 0.5000 0.5000 0.5000
Al 0.6516 0.6516 0.0000

Properties
DOS at the Fermi energy in states/eV per cell: 3.3
Energy of formation from the pure elements in eV per atom: -0.353

The lowest DOS at the Fermi energy belongs to which entry?
TmAl6Cu6